A PBEsol-optimized structure of Sr2FeIr, computed with meta-GGA SCAN.

Values from the calculation:
The density of states at the Fermi level comes out at 2.309 states/eV per cell. The raw total energy is -133.3 eV per formula unit.

Unit cell a=3.433 b=3.433 c=8.797 alpha=90.00 beta=90.00 gamma=90.00
Sites, in units of the cell vectors:
Sr1 0.000 0.000 0.000
Sr2 0.500 0.500 0.412
Fe1 0.500 0.500 0.736
Ir1 0.000 0.000 0.668

---

A PBEsol-optimized structure of BaCoNF2, computed with meta-GGA SCAN.

Values from the calculation:
The density of states at the Fermi level comes out at 1.170 states/eV per cell. The raw total energy is -75.5 eV per formula unit. As for the uncorrected formation energy: -0.453 eV per atom.

Unit cell a=4.825 b=4.825 c=5.428 alpha=90.00 beta=90.00 gamma=90.00
Sites, in units of the cell vectors:
Ba1 0.000 0.000 0.000
Co1 0.500 0.500 0.500
N1 0.000 0.000 0.500
F1 0.000 0.500 0.000
F2 0.500 0.000 0.000

---

A PBEsol-optimized structure of MnZn13, computed with meta-GGA SCAN.

Values from the calculation:
The density of states at the Fermi level comes out at 4.022 states/eV per cell. The raw total energy is -193.6 eV per formula unit.

Unit cell a=6.625 b=6.625 c=5.102 alpha=99.05 beta=99.05 gamma=64.44
Sites, in units of the cell vectors:
Mn1 0.000 0.000 0.000
Zn1 0.000 0.000 0.500
Zn2 0.002 0.650 0.185
Zn3 0.213 0.589 0.674
Zn4 0.218 0.218 0.327
Zn5 0.350 0.998 0.815
Zn6 0.409 0.409 0.121
Zn7 0.411 0.787 0.326
Zn8 0.589 0.213 0.674
Zn9 0.591 0.591 0.879
Zn10 0.650 0.002 0.185
Zn11 0.782 0.782 0.673
Zn12 0.787 0.411 0.326
Zn13 0.998 0.350 0.815

---

> The lowest raw total energy belongs to which entry?

MnZn13

---

> Number 2 is which compound?

BaCoNF2

---

What did the third record say?
A PBEsol-optimized structure of MnZn13, computed with meta-GGA SCAN.

Values from the calculation:
The density of states at the Fermi level comes out at 4.022 states/eV per cell. The raw total energy is -193.6 eV per formula unit.

Unit cell a=6.625 b=6.625 c=5.102 alpha=99.05 beta=99.05 gamma=64.44
Sites, in units of the cell vectors:
Mn1 0.000 0.000 0.000
Zn1 0.000 0.000 0.500
Zn2 0.002 0.650 0.185
Zn3 0.213 0.589 0.674
Zn4 0.218 0.218 0.327
Zn5 0.350 0.998 0.815
Zn6 0.409 0.409 0.121
Zn7 0.411 0.787 0.326
Zn8 0.589 0.213 0.674
Zn9 0.591 0.591 0.879
Zn10 0.650 0.002 0.185
Zn11 0.782 0.782 0.673
Zn12 0.787 0.411 0.326
Zn13 0.998 0.350 0.815